FeRe2Rh | meta-GGA SCAN | single point on PBEsol structure

Cell: 2.671 2.671 7.448 Å, 90.00 90.00 90.00°
Atoms (fractional coordinates):
Fe 0.000 0.000 0.000
Re 0.000 0.000 0.502
Re 0.500 0.500 0.219
Rh 0.500 0.500 0.751

Energy   -48.47 eV per atom
Total magnetization   2.1 μB per formula unit
Volume   53.1 Å³ per cell
Excess energy over the best structure of this formula in the dataset   0.0479 eV/atom
Formation enthalpy at 0 K   0.050 eV/atom
Symmetry   P4mm (99)



Ag2SBr | meta-GGA SCAN | single point on PBEsol structure

Cell: 4.729 4.729 4.729 Å, 60.00 60.00 60.00°
Atoms (fractional coordinates):
Ag 0.250 0.250 0.250
Ag 0.750 0.750 0.750
S 0.000 0.000 0.000
Br 0.500 0.500 0.500

Energy   -22.73 eV per atom
Total magnetization   0.0 μB per formula unit
Volume   74.8 Å³ per cell
Excess energy over the best structure of this formula in the dataset   0.3302 eV/atom
Raw formation energy   0.230 eV per atom
Symmetry   Fm-3m (225)



Co3TcH | meta-GGA SCAN | single point on PBEsol structure

Cell: 3.569 3.569 3.569 Å, 90.00 90.00 90.00°
Atoms (fractional coordinates):
Co 0.000 0.000 0.500
Co 0.000 0.500 0.000
Co 0.500 0.000 0.000
Tc 0.500 0.500 0.500
H 0.000 0.000 0.000

Energy   -17.86 eV per atom
Total magnetization   4.0 μB per formula unit
Volume   45.5 Å³ per cell
Symmetry   Pm-3m (221)



Sr2HgBr | meta-GGA SCAN | single point on PBEsol structure

Cell: 5.144 6.612 6.612 Å, 35.22 90.00 90.00°
Atoms (fractional coordinates):
Sr 0.000 0.000 0.000
Sr 0.500 0.254 0.254
Hg 0.500 0.520 0.520
Br 0.000 0.750 0.750

Energy   -34.13 eV per atom
Total magnetization   0.0 μB per formula unit
Volume   129.7 Å³ per cell
Excess energy over the best structure of this formula in the dataset   0.1114 eV/atom
Raw formation energy   -1.083 eV per atom
Symmetry   Amm2 (38)



OsRh2Cl | meta-GGA SCAN | single point on PBEsol structure

Cell: 2.772 2.772 7.354 Å, 90.00 90.00 90.00°
Atoms (fractional coordinates):
Os 0.000 0.000 0.000
Rh 0.000 0.000 0.488
Rh 0.500 0.500 0.234
Cl 0.500 0.500 0.749

Energy   -36.20 eV per atom
Total magnetization   0.0 μB per formula unit
Volume   56.5 Å³ per cell
Excess energy over the best structure of this formula in the dataset   0.0000 eV/atom
Raw formation energy   0.646 eV per atom
Symmetry   P4mm (99)



K2ZrCdH16C8O24 | meta-GGA SCAN | single point on PBEsol structure

Cell: 9.071 9.071 9.071 Å, 103.35 103.35 122.56°
Atoms (fractional coordinates):
K 0.000 0.000 0.000
K 0.750 0.250 0.500
Zr 0.250 0.750 0.500
Cd 0.500 0.500 0.000
H 0.029 0.182 0.655
H 0.050 0.620 0.926
H 0.056 0.126 0.429
H 0.125 0.283 0.354
H 0.229 0.875 0.158
H 0.372 0.944 0.070
H 0.380 0.306 0.431
H 0.527 0.374 0.345
H 0.626 0.971 0.153
H 0.694 0.125 0.074
H 0.698 0.628 0.571
H 0.717 0.072 0.842
H 0.818 0.473 0.847
H 0.874 0.302 0.930
H 0.875 0.950 0.569
H 0.928 0.771 0.646
C 0.271 0.545 0.721
C 0.282 0.059 0.764
C 0.296 0.519 0.236
C 0.451 0.729 0.274
C 0.455 0.176 0.726
C 0.481 0.718 0.777
C 0.824 0.549 0.279
C 0.941 0.704 0.223
O 0.126 0.805 0.304
O 0.136 0.184 0.368
O 0.148 0.533 0.606
O 0.177 0.874 0.678
O 0.195 0.499 0.322
O 0.231 0.864 0.047
O 0.233 0.431 0.789
O 0.254 0.144 0.867
O 0.278 0.387 0.133
O 0.458 0.852 0.385
O 0.467 0.073 0.615
O 0.501 0.823 0.696
O 0.521 0.384 0.454
O 0.555 0.767 0.198
O 0.569 0.357 0.802
O 0.613 0.746 0.891
O 0.616 0.070 0.137
O 0.643 0.445 0.211
O 0.816 0.184 0.953
O 0.816 0.769 0.632
O 0.856 0.722 0.109
O 0.927 0.542 0.394
O 0.930 0.067 0.546
O 0.933 0.479 0.863

Energy   -8.35 eV per atom
Total magnetization   0.0 μB per formula unit
Volume   551.7 Å³ per cell
Symmetry   I-4 (82)



Mg2InCl | meta-GGA SCAN | single point on PBEsol structure

Cell: 3.167 3.167 9.794 Å, 90.00 90.00 90.00°
Atoms (fractional coordinates):
Mg 0.000 0.000 0.000
Mg 0.500 0.500 0.241
In 0.500 0.500 0.763
Cl 0.000 0.000 0.382

Energy   -13.36 eV per atom
Total magnetization   0.0 μB per formula unit
Volume   98.2 Å³ per cell
Excess energy over the best structure of this formula in the dataset   0.0000 eV/atom
Raw formation energy   -0.536 eV per atom
Symmetry   P4mm (99)



Ca4Al5FeSi6H2O26 | meta-GGA SCAN | single point on PBEsol structure

Cell: 8.918 5.620 10.106 Å, 90.00 115.36 90.00°
Atoms (fractional coordinates):
Ca 0.000 0.000 0.000
Ca 0.136 0.000 0.721
Ca 0.365 0.500 0.576
Ca 0.511 0.500 0.305
Al 0.040 0.000 0.374
Al 0.750 0.249 0.648
Al 0.750 0.751 0.648
Al 0.753 0.250 0.152
Al 0.753 0.750 0.152
Fe 0.461 0.500 0.924
Si 0.067 0.500 0.873
Si 0.091 0.500 0.202
Si 0.414 0.000 0.102
Si 0.426 0.000 0.424
Si 0.571 0.000 0.832
Si 0.935 0.500 0.467
H 0.700 0.500 0.832
H 0.804 0.000 0.465
O 0.052 0.262 0.502
O 0.052 0.738 0.502
O 0.117 0.500 0.050
O 0.229 0.500 0.842
O 0.237 0.000 0.965
O 0.262 0.000 0.450
O 0.271 0.500 0.332
O 0.375 0.000 0.247
O 0.449 0.233 0.791
O 0.449 0.767 0.791
O 0.522 0.244 0.112
O 0.522 0.756 0.112
O 0.540 0.237 0.493
O 0.540 0.763 0.493
O 0.673 0.500 0.726
O 0.691 0.000 0.746
O 0.706 0.500 0.020
O 0.713 0.000 0.007
O 0.792 0.500 0.293
O 0.810 0.000 0.285
O 0.813 0.500 0.553
O 0.827 0.000 0.571
O 0.959 0.259 0.806
O 0.959 0.741 0.806
O 0.989 0.250 0.199
O 0.989 0.750 0.199

Energy   -10.44 eV per atom
Total magnetization   5.0 μB per formula unit
Volume   457.6 Å³ per cell
Symmetry   Pm (6)



LaAg2Ge2 | meta-GGA SCAN | single point on PBEsol structure

Cell: 6.224 6.224 6.224 Å, 139.52 139.52 58.59°
Atoms (fractional coordinates):
La 0.000 0.000 0.000
Ag 0.250 0.750 0.500
Ag 0.750 0.250 0.500
Ge 0.387 0.387 0.000
Ge 0.613 0.613 0.000

Energy   -29.36 eV per atom
Total magnetization   0.0 μB per formula unit
Volume   100.7 Å³ per cell
Formation enthalpy at 0 K   -0.561 eV/atom
Symmetry   I4/mmm (139)



Tc2AsAu | meta-GGA SCAN | single point on PBEsol structure

Cell: 5.048 5.048 2.925 Å, 101.57 101.57 117.00°
Atoms (fractional coordinates):
Tc 0.000 0.500 0.000
Tc 0.500 0.000 0.000
As 0.000 0.000 0.500
Au 0.500 0.500 0.500

Energy   -39.37 eV per atom
Total magnetization   0.0 μB per formula unit
Volume   61.3 Å³ per cell
Formation enthalpy at 0 K   0.492 eV/atom
Symmetry   C2/m (12)



ReNiPt | meta-GGA SCAN | single point on PBEsol structure

Cell: 5.814 5.814 5.814 Å, 153.20 153.20 38.27°
Atoms (fractional coordinates):
Re 0.000 0.000 0.000
Ni 0.651 0.651 0.000
Pt 0.322 0.322 0.000

Energy   -52.58 eV per atom
Total magnetization   0.0 μB per formula unit
Volume   39.9 Å³ per cell
Excess energy over the best structure of this formula in the dataset   0.0136 eV/atom
Formation enthalpy at 0 K   -0.091 eV/atom
Symmetry   I4mm (107)



Re2TcPt | meta-GGA SCAN | single point on PBEsol structure

Cell: 2.727 2.727 7.796 Å, 90.00 90.00 90.00°
Atoms (fractional coordinates):
Re 0.000 0.000 0.000
Re 0.500 0.500 0.247
Tc 0.000 0.000 0.485
Pt 0.500 0.500 0.745

Energy   -61.94 eV per atom
Total magnetization   0.0 μB per formula unit
Volume   58.0 Å³ per cell
Excess energy over the best structure of this formula in the dataset   0.0596 eV/atom
Formation enthalpy at 0 K   -0.076 eV/atom
Symmetry   P4mm (99)



FeAs2Os | meta-GGA SCAN | single point on PBEsol structure

Cell: 4.106 4.106 4.983 Å, 101.53 101.53 41.65°
Atoms (fractional coordinates):
Fe 0.000 0.000 0.000
As 0.252 0.252 0.761
As 0.748 0.748 0.239
Os 0.500 0.500 0.500

Energy   -32.35 eV per atom
Total magnetization   1.8 μB per formula unit
Volume   54.5 Å³ per cell
Formation enthalpy at 0 K   0.251 eV/atom
Symmetry   C2/m (12)



MnHgRu2 | meta-GGA SCAN | single point on PBEsol structure

Cell: 4.778 4.778 4.778 Å, 132.64 132.64 69.23°
Atoms (fractional coordinates):
Mn 0.000 0.000 0.000
Hg 0.250 0.750 0.500
Ru 0.500 0.500 0.000
Ru 0.750 0.250 0.500

Energy   -38.76 eV per atom
Total magnetization   3.7 μB per formula unit
Volume   57.9 Å³ per cell
Formation enthalpy at 0 K   0.261 eV/atom
Symmetry   I-4m2 (119)



GaNi2 | meta-GGA SCAN | single point on PBEsol structure

Cell: 2.639 2.639 5.764 Å, 90.00 90.00 120.00°
Atoms (fractional coordinates):
Ga 0.000 0.000 0.000
Ni 0.333 0.667 0.331
Ni 0.667 0.333 0.669

Energy   -16.29 eV per atom
Total magnetization   0.0 μB per formula unit
Volume   34.8 Å³ per cell
Formation enthalpy at 0 K   -0.059 eV/atom
Symmetry   P-3m1 (164)



ScTl3 | meta-GGA SCAN | single point on PBEsol structure

Cell: 6.189 6.189 6.189 Å, 147.26 61.81 129.15°
Atoms (fractional coordinates):
Sc 0.000 0.000 0.000
Tl 0.390 0.651 0.739
Tl 0.524 0.024 0.500
Tl 0.912 0.651 0.261

Energy   -57.99 eV per atom
Total magnetization   0.0 μB per formula unit
Volume   98.5 Å³ per cell
Formation enthalpy at 0 K   -0.160 eV/atom
Symmetry   Imm2 (44)



TlNi2As2 | meta-GGA SCAN | single point on PBEsol structure

Cell: 6.632 6.632 6.632 Å, 145.63 145.63 49.39°
Atoms (fractional coordinates):
Tl 0.000 0.000 0.000
Ni 0.250 0.750 0.500
Ni 0.750 0.250 0.500
As 0.352 0.352 0.000
As 0.648 0.648 0.000

Energy   -29.17 eV per atom
Total magnetization   0.0 μB per formula unit
Volume   92.5 Å³ per cell
Excess energy over the best structure of this formula in the dataset   0.0000 eV/atom
Formation enthalpy at 0 K   -0.157 eV/atom
Symmetry   I4/mmm (139)



NbFeSnO2 | meta-GGA SCAN | single point on PBEsol structure

Cell: 3.766 3.766 5.242 Å, 90.00 90.00 90.00°
Atoms (fractional coordinates):
Nb 0.000 0.000 0.000
Fe 0.500 0.500 0.500
Sn 0.500 0.500 0.000
O 0.000 0.500 0.500
O 0.500 0.000 0.500

Energy   -20.10 eV per atom
Total magnetization   4.8 μB per formula unit
Volume   74.3 Å³ per cell
Raw formation energy   -0.174 eV per atom
Symmetry   P4/mmm (123)



GeP2HO | meta-GGA SCAN | single point on PBEsol structure

Cell: 4.789 4.789 3.518 Å, 90.00 90.00 90.00°
Atoms (fractional coordinates):
Ge 0.000 0.000 0.000
P 0.000 0.500 0.000
P 0.500 0.000 0.000
H 0.500 0.500 0.500
O 0.000 0.000 0.500

Energy   -8.90 eV per atom
Total magnetization   0.0 μB per formula unit
Volume   80.7 Å³ per cell
Symmetry   P4/mmm (123)



NiTeRu | meta-GGA SCAN | single point on PBEsol structure

Cell: 4.817 4.817 4.817 Å, 140.75 140.75 56.72°
Atoms (fractional coordinates):
Ni 0.000 0.000 0.000
Te 0.651 0.651 0.000
Ru 0.325 0.325 0.000

Energy   -29.11 eV per atom
Total magnetization   0.0 μB per formula unit
Volume   44.4 Å³ per cell
Excess energy over the best structure of this formula in the dataset   0.1859 eV/atom
Raw formation energy   0.304 eV per atom
Symmetry   I4mm (107)